Here is a geometry-optimized TcNiNF2 structure from Alexandria. Energies are from PBE with a Hubbard U.

Geometry as CIF:
```
data_TcNiNF2
_cell_length_a 3.404
_cell_length_b 3.404
_cell_length_c 6.376
_cell_angle_alpha 90.00
_cell_angle_beta 90.00
_cell_angle_gamma 90.00
_symmetry_space_group_name_H-M 'P 4/m m m'
_symmetry_Int_Tables_number 123
_symmetry_space_group_name_Hall '-P 4 2'
loop_
_atom_site_label
_atom_site_fract_x
_atom_site_fract_y
_atom_site_fract_z
_atom_site_occupancy
Tc1 0.000 0.000 0.000 1
Ni1 0.000 0.000 0.500 1
N1 0.500 0.500 0.000 1
F1 0.000 0.500 0.500 1
```

Uncorrected energy, eV/atom: -4.8262